# 1
Na2ErSnS4: relaxed, PBE.

Properties
Formation energy from raw total energies in eV/atom: -1.271
Total DFT energy (no corrections) in eV per atom: -4.735

a = 3.9239 Å, b = 6.8982 Å, c = 7.0690 Å
α = 108.70°, β = 90.00°, γ = 90.00°
With the nearest neighbours (Å) after each atom.
Fractional coordinates of all 8 atoms:
Na (0.5000, 0.0000, 0.5000)  6 S 2.93-2.95
Na (0.0000, 0.5000, 0.5000)  6 S 2.91-2.94
Er (0.5000, 0.5000, 0.0000)  6 S 2.73
Sn (0.0000, 0.0000, 0.0000)  6 S 2.74-2.75
S (0.5000, 0.2456, 0.2266)  1 Er 2.73, 2 Sn 2.75, 3 Na 2.91-2.95
S (0.5000, 0.7544, 0.7734)  1 Er 2.73, 2 Sn 2.75, 3 Na 2.91-2.95
S (0.0000, 0.2587, 0.7760)  2 Er 2.73, 1 Sn 2.74, 3 Na 2.93-2.94
S (0.0000, 0.7413, 0.2240)  2 Er 2.73, 1 Sn 2.74, 3 Na 2.93-2.94

# 2
BaPd2Br8: relaxed, PBE.

Properties
Formation energy from raw total energies in eV/atom: -0.626
Total DFT energy (no corrections) in eV per atom: -2.961

a = 7.6783 Å, b = 7.6783 Å, c = 8.4467 Å
α = 117.03°, β = 117.03°, γ = 90.00°
With the nearest neighbours (Å) after each atom.
Fractional coordinates of all 11 atoms:
Ba (0.5000, 0.5000, 0.0000)  8 Br 3.36
Pd (0.7500, 0.2500, 0.5000)  4 Br 2.45
Pd (0.2500, 0.7500, 0.5000)  4 Br 2.45
Br (0.7912, 0.2686, 0.2362)  1 Pd 2.45
Br (0.0323, 0.5550, 0.7638)  1 Pd 2.45
Br (0.7314, 0.2088, 0.7638)  1 Pd 2.45
Br (0.2088, 0.0323, 0.7638)  1 Pd 2.45
Br (0.4450, 0.9677, 0.2362)  1 Pd 2.45
Br (0.9677, 0.7912, 0.2362)  1 Pd 2.45
Br (0.2686, 0.4450, 0.2362)  1 Pd 2.45
Br (0.5550, 0.7314, 0.7638)  1 Pd 2.45

> Which value of total DFT energy (no corrections) does entry 2 give?

-2.961 eV per atom